(1)
This record from OQMD via LeMat-Bulk describes Sr2CuPt after structural relaxation. The functional is PBE-GGA.

## Properties
Energy = -3.81 eV per atom
Symmetry = No. 11
Calculated density = 6.6 g/cm³

Cell lengths 6.0617, 4.4423, 8.6066 Å; angles 90.00, 110.18, 90.00 degrees
Positions (direct):
1 Cu 0.3431 0.7500 0.7207
2 Sr 0.2808 0.7500 0.0662
3 Pt 0.1593 0.2500 0.7806
4 Sr 0.2003 0.2500 0.4256
5 Sr 0.7997 0.7500 0.5744
6 Pt 0.8407 0.7500 0.2194
7 Cu 0.6569 0.2500 0.2793
8 Sr 0.7192 0.2500 0.9338

=====

(2)
This record from OQMD via LeMat-Bulk describes PrMg after structural relaxation. The functional is PBE-GGA.

## Properties
Offset from the most stable computed form = 2.50 eV per formula unit
Energy = -2.03 eV per atom
Symmetry = No. 216
Calculated density = 2.9 g/cm³

Cell lengths 5.0926, 5.0926, 5.0926 Å; angles 60.00, 60.00, 60.00 degrees
Site moments in Bohr magnetons follow the coordinates.
Positions (direct):
1 Pr 0.2500 0.2500 0.2500  0.14
2 Mg 0.0000 0.0000 0.0000  0.01

=====

(3)
This record from OQMD via LeMat-Bulk describes Al3CdN after structural relaxation. The functional is PBE-GGA.

## Properties
Energy = -3.95 eV per atom
Symmetry = No. 221
Calculated density = 4.7 g/cm³

Cell lengths 4.1796, 4.1796, 4.1796 Å; angles 90.00, 90.00, 90.00 degrees
Positions (direct):
1 Al 0.5000 0.0000 0.5000
2 Cd 0.0000 0.0000 0.0000
3 Al 0.0000 0.5000 0.5000
4 N 0.5000 0.5000 0.5000
5 Al 0.5000 0.5000 0.0000

=====

(4)
This record from OQMD via LeMat-Bulk describes MgCu4NiB2 after structural relaxation. The functional is PBE-GGA.

## Properties
Energy = -4.01 eV per atom
Symmetry = No. 123
Calculated density = 6.9 g/cm³

Cell lengths 3.7308, 3.7308, 6.1871 Å; angles 90.00, 90.00, 90.00 degrees
Positions (direct):
1 B 0.0000 0.0000 0.0000
2 Ni 0.0000 0.0000 0.5000
3 Cu 0.0000 0.5000 0.2623
4 Cu 0.0000 0.5000 0.7377
5 Cu 0.5000 0.0000 0.2623
6 B 0.5000 0.5000 0.5000
7 Mg 0.5000 0.5000 0.0000
8 Cu 0.5000 0.0000 0.7377

=====

(5)
This record from OQMD via LeMat-Bulk describes Y2HoMg3Cd2Ag after structural relaxation. The functional is PBE-GGA.

## Properties
Energy = -3.25 eV per atom
Symmetry = No. 38
Calculated density = 5.6 g/cm³

Cell lengths 4.1905, 7.7913, 7.7913 Å; angles 119.90, 90.00, 90.00 degrees
Positions (direct):
1 Ho 0.0000 0.4062 0.4062
2 Mg 0.5000 0.0003 0.2443
3 Mg 0.5000 0.7555 0.7555
4 Cd 0.5000 0.6656 0.3338
5 Y 0.0000 0.5931 0.9998
6 Ag 0.0000 0.0013 0.0013
7 Cd 0.5000 0.3338 0.6656
8 Y 0.0000 0.9998 0.5931
9 Mg 0.5000 0.2443 0.0003

=====

(6)
This record from OQMD via LeMat-Bulk describes Tm2Th after structural relaxation. The functional is PBE-GGA.

## Properties
Formation energy = -0.06 eV per formula unit
Offset from the most stable computed form = 0.00 eV per formula unit
Energy = -5.47 eV per atom
Symmetry = No. 166
Calculated density = 10.3 g/cm³

Cell lengths 3.5534, 3.5534, 8.6621 Å; angles 101.83, 101.83, 60.00 degrees
Positions (direct):
1 Tm 0.7230 0.7230 0.6689
2 Th 0.5000 0.5000 0.0000
3 Tm 0.2770 0.2770 0.3311